# 1
First-principles (PBE) data for an optimized crystal structure of GaSbO2F, as listed in the Alexandria database.

## Properties
For the calculated volume, the calculation gives 15.4 A^3/atom. For the total energy, the calculation gives -4.98 eV per atom.

extended XYZ file:
```
5
Lattice="-0.612 -0.387 -4.087 0.749 -4.073 0.274 -4.344 -0.751 0.721" Properties=species:S:1:pos:R:3 pbc="T T T"
Ga -2.103 -2.606 -1.546
Sb 0.000 0.000 0.000
F -2.172 -0.375 0.361
O -0.306 -0.194 -2.043
O 0.375 -2.037 0.137
```

# 2
First-principles (PBE) data for an optimized crystal structure of GaSbO2F, as listed in the Alexandria database.

## Properties
For the calculated volume, the calculation gives 12.4 A^3/atom. For the total energy, the calculation gives -4.98 eV per atom.

extended XYZ file:
```
5
Lattice="-2.279 3.191 -0.415 -3.106 -2.049 1.304 0.852 1.097 3.753" Properties=species:S:1:pos:R:3 pbc="T T T"
Sb -2.266 1.119 2.321
Ga 0.000 0.000 0.000
O -1.140 1.595 -0.207
O -1.553 -1.024 0.652
F 0.426 0.548 1.876
```

- Among the records above, which one has the lowest calculated volume?
  number 2

- calculated volume of number 1 (GaSbO2F)?
  15.4 A^3/atom

- Which formula does entry 2 have?
  GaSbO2F